## LiAgRh2 (PBE)

Data for a relaxed LiAgRh2 crystal.

The formation energy comes out at 0.104 eV/atom. As for the total energy: -4.76 eV/atom. Its polymorph energy (0 for the lowest one) is 108 meV/atom.

Cell: 2.7714 4.7081 9.2495 Å, 90.00 90.00 90.00°
Last column: nearest neighbours and their distance in Å.
Space group Cmm2 (No. 35)
Symmetry-distinct sites (fractional):
Li 0.0000 0.0000 0.0000  2 Rh 2.57, 2 Ag 2.73, 6 Li 2.73-2.77
Ag 0.0000 0.5000 0.7463  2 Li 2.73, 6 Ag 2.73-2.77, 2 Rh 2.85
Rh 0.0000 0.0000 0.4771  8 Rh 2.64-2.77, 2 Ag 2.85
Rh 0.0000 0.5000 0.2339  2 Li 2.57, 8 Rh 2.64-2.77

=====

## Rb2SrInI5 (PBE)

Data for a relaxed Rb2SrInI5 crystal.

As for the total energy: -2.88 eV/atom. The uncorrected formation energy is -1.315 eV per atom.

Cell: 4.9819 21.4895 17.0594 Å, 90.00 90.00 90.00°
Last column: nearest neighbours and their distance in Å.
Space group Cmc2_1 (No. 36)
Symmetry-distinct sites (fractional):
Rb 0.0000 0.0775 0.0000  6 I 3.64-3.79
Rb 0.0000 0.1308 0.6520  6 I 3.74-4.07
Sr 0.0000 0.2346 0.3855  6 I 3.25-3.37
In 0.0000 0.4480 0.8008  5 I 3.36-3.69
I 0.0000 0.0869 0.4276  1 Sr 3.25, 2 In 3.38
I 0.0000 0.2504 0.0172  2 Sr 3.37, 1 Rb 3.73
I 0.0000 0.2900 0.7586  2 Sr 3.34, 1 In 3.47
I 0.0000 0.3832 0.3401  1 Sr 3.28
I 0.0000 0.4957 0.1169  1 In 3.36, 4 Rb 3.64-3.74

=====

## MgCdSnBi (PBE)

Data for a relaxed MgCdSnBi crystal.

The formation energy comes out at 0.035 eV/atom. As for the total energy: -2.56 eV/atom.

Cell: 7.5525 7.5525 7.5525 Å, 90.00 90.00 90.00°
Last column: nearest neighbours and their distance in Å.
Space group F-43m (No. 216)
Symmetry-distinct sites (fractional):
Mg 0.0000 0.0000 0.0000  4 Cd 3.27, 4 Bi 3.27
Cd 0.2500 0.2500 0.2500  4 Sn 3.27, 4 Mg 3.27
Sn 0.0000 0.0000 0.5000  4 Bi 3.27, 4 Cd 3.27
Bi 0.2500 0.2500 0.7500  4 Sn 3.27, 4 Mg 3.27

=====

## Na2As2Pb (PBE)

Data for a relaxed Na2As2Pb crystal.

The formation energy comes out at -0.097 eV/atom. As for the total energy: -3.23 eV/atom. Its polymorph energy (0 for the lowest one) is 169 meV/atom.

Cell: 8.6166 8.6166 3.1910 Å, 90.00 90.00 90.00°
Last column: nearest neighbours and their distance in Å.
Space group P4/mbm (No. 127)
Symmetry-distinct sites (fractional):
Na 0.1176 0.3824 0.0000  3 Na 2.87-3.19, 6 As 2.92-3.08
As 0.1819 0.6819 0.5000  6 Na 2.92-3.08, 2 As 3.19
Pb 0.0000 0.0000 0.0000  2 Pb 3.19, 4 Na 3.45, 8 As 3.54

=====

Total magnetization values, unit μB/atom, following the record order: 0.000, 0.000, 0.000, 0.000.